Record 1
This record from Alexandria via LeMat-Bulk describes Tb2HoSn after structural relaxation. The functional is PBE.

a b c (Å): 3.5070 3.5070 12.1078
angles (deg): 81.67 81.67 60.00
Last column: nearest neighbours and their distance in Å.
Fractional coordinates of all 4 atoms:
Tb (0.0873, 0.0873, 0.7382)  1 Sn 3.13, 3 Ho 3.49
Tb (0.9127, 0.9127, 0.2618)  1 Sn 3.13, 3 Ho 3.49
Ho (0.5000, 0.5000, 0.5000)  6 Tb 3.49, 6 Ho 3.51
Sn (0.0000, 0.0000, 0.0000)  2 Tb 3.13

Properties
The value obtained for the density of states at the Fermi level is 3.88 states/eV/cell. For the calculated formation energy, the calculation gives 0.04 eV per atom. The spin magnetization is 0.00 μB/f.u. The value obtained for the energy is -4.42 eV per atom.


Record 2
This record from Alexandria via LeMat-Bulk describes I after structural relaxation. The functional is PBE.

a b c (Å): 9.3861 9.3861 9.3861
angles (deg): 90.00 90.00 90.00
Last column: nearest neighbours and their distance in Å.
Fractional coordinates of all 12 atoms:
I (0.5000, 0.0000, 0.7500)  4 I 3.32
I (0.0000, 0.5000, 0.7500)  4 I 3.32
I (0.2500, 0.0000, 0.5000)  4 I 3.32
I (0.0000, 0.7500, 0.5000)  4 I 3.32
I (0.7500, 0.5000, 0.0000)  4 I 3.32
I (0.7500, 0.0000, 0.5000)  4 I 3.32
I (0.5000, 0.0000, 0.2500)  4 I 3.32
I (0.2500, 0.5000, 0.0000)  4 I 3.32
I (0.5000, 0.2500, 0.0000)  4 I 3.32
I (0.0000, 0.5000, 0.2500)  4 I 3.32
I (0.0000, 0.2500, 0.5000)  4 I 3.32
I (0.5000, 0.7500, 0.0000)  4 I 3.32

Properties
The value obtained for the density of states at the Fermi level is 13.86 states/eV/cell. Its energy relative to the elements, uncorrected is 0.458 eV per atom. The spin magnetization is 0.00 μB/f.u. The value obtained for the energy is -1.09 eV per atom.


Record 3
This record from Alexandria via LeMat-Bulk describes Ca3Pr3Nd after structural relaxation. The functional is PBE.

a b c (Å): 6.0032 10.1158 10.1158
angles (deg): 120.00 90.00 90.00
Last column: nearest neighbours and their distance in Å.
Fractional coordinates of all 14 atoms:
Ca (0.7500, 0.9437, 0.1934)  1 Nd 3.72, 5 Pr 3.72-3.95, 6 Ca 3.78-3.97
Ca (0.7500, 0.2496, 0.0563)  1 Nd 3.72, 5 Pr 3.72-3.95, 6 Ca 3.78-3.97
Ca (0.7500, 0.8066, 0.7504)  1 Nd 3.72, 5 Pr 3.72-3.95, 6 Ca 3.78-3.97
Ca (0.2500, 0.7504, 0.9437)  1 Nd 3.72, 5 Pr 3.72-3.95, 6 Ca 3.78-3.97
Ca (0.2500, 0.0563, 0.8066)  1 Nd 3.72, 5 Pr 3.72-3.95, 6 Ca 3.78-3.97
Ca (0.2500, 0.1934, 0.2496)  1 Nd 3.72, 5 Pr 3.72-3.95, 6 Ca 3.78-3.97
Pr (0.7500, 0.3862, 0.4896)  4 Pr 3.65-3.72, 3 Nd 3.67-3.88, 5 Ca 3.72-3.95
Pr (0.7500, 0.5104, 0.8966)  4 Pr 3.65-3.72, 3 Nd 3.67-3.88, 5 Ca 3.72-3.95
Pr (0.2500, 0.4896, 0.1034)  4 Pr 3.65-3.72, 3 Nd 3.67-3.88, 5 Ca 3.72-3.95
Pr (0.2500, 0.8966, 0.3862)  4 Pr 3.65-3.72, 3 Nd 3.67-3.88, 5 Ca 3.72-3.95
Pr (0.2500, 0.6138, 0.5104)  4 Pr 3.65-3.72, 3 Nd 3.67-3.88, 5 Ca 3.72-3.95
Pr (0.7500, 0.1034, 0.6138)  4 Pr 3.65-3.72, 3 Nd 3.67-3.88, 5 Ca 3.72-3.95
Nd (0.7500, 0.6667, 0.3333)  9 Pr 3.67-3.88, 3 Ca 3.72
Nd (0.2500, 0.3333, 0.6667)  9 Pr 3.67-3.88, 3 Ca 3.72

Properties
The value obtained for the density of states at the Fermi level is 19.94 states/eV/cell. For the calculated formation energy, the calculation gives 0.04 eV per atom. The spin magnetization is 0.00 μB/f.u. The value obtained for the energy is -3.55 eV per atom.


Record 4
This record from Alexandria via LeMat-Bulk describes EuLu2Hg after structural relaxation. The functional is PBE.

a b c (Å): 3.5651 3.5651 9.2552
angles (deg): 90.00 90.00 90.00
Last column: nearest neighbours and their distance in Å.
Fractional coordinates of all 4 atoms:
Eu (0.5000, 0.5000, 0.5000)  4 Eu 3.57, 8 Lu 3.70
Hg (0.5000, 0.5000, 0.0000)  8 Lu 3.17
Lu (0.0000, 0.0000, 0.7930)  4 Hg 3.17
Lu (0.0000, 0.0000, 0.2070)  4 Hg 3.17

Properties
The value obtained for the density of states at the Fermi level is 4.03 states/eV/cell. For the calculated formation energy, the calculation gives -0.15 eV per atom. The spin magnetization is 7.85 μB/f.u. The value obtained for the energy is -5.06 eV per atom.


Record 5
This record from Alexandria via LeMat-Bulk describes InHg2Sb after structural relaxation. The functional is PBE.

a b c (Å): 6.2911 6.2911 6.2911
angles (deg): 147.58 125.45 64.90
Last column: nearest neighbours and their distance in Å.
Fractional coordinates of all 4 atoms:
Hg (0.0016, 0.0016, 0.0000)  2 In 3.17, 2 Sb 3.20, 6 Hg 3.38-3.51
Hg (0.4984, 0.4984, 0.0000)  2 In 3.17, 2 Sb 3.20, 6 Hg 3.38-3.51
In (0.2500, 0.7500, 0.5000)  4 Hg 3.17, 4 Sb 3.38, 2 In 3.51
Sb (0.7500, 0.2500, 0.5000)  4 Hg 3.20, 4 In 3.38, 2 Sb 3.51

Properties
The value obtained for the density of states at the Fermi level is 1.91 states/eV/cell. Its energy relative to the elements, uncorrected is 0.085 eV per atom. The spin magnetization is 0.00 μB/f.u. The value obtained for the energy is -1.78 eV per atom.


Record 6
This record from Alexandria via LeMat-Bulk describes CsScGe3 after structural relaxation. The functional is PBE.

a b c (Å): 5.3393 5.3393 5.3393
angles (deg): 90.00 90.00 90.00
Last column: nearest neighbours and their distance in Å.
Fractional coordinates of all 5 atoms:
Ge (0.5000, 0.0000, 0.0000)  2 Sc 2.67
Ge (0.0000, 0.5000, 0.0000)  2 Sc 2.67
Ge (0.0000, 0.0000, 0.5000)  2 Sc 2.67
Cs (0.5000, 0.5000, 0.5000)  12 Ge 3.78
Sc (0.0000, 0.0000, 0.0000)  6 Ge 2.67

Properties
The value obtained for the density of states at the Fermi level is 2.96 states/eV/cell. For the calculated formation energy, the calculation gives 0.20 eV per atom. The spin magnetization is 0.00 μB/f.u. The value obtained for the energy is -4.00 eV per atom.


Record 7
This record from Alexandria via LeMat-Bulk describes Tm2SeI after structural relaxation. The functional is PBE.

a b c (Å): 3.8880 3.8880 8.4014
angles (deg): 76.62 76.62 60.00
Last column: nearest neighbours and their distance in Å.
Fractional coordinates of all 4 atoms:
Tm (0.7331, 0.7331, 0.8007)  3 Se 2.76
Tm (0.2669, 0.2669, 0.1993)  3 Se 2.76
I (0.5000, 0.5000, 0.5000)  6 Tm 3.31
Se (0.0000, 0.0000, 0.0000)  6 Tm 2.76

Properties
The value obtained for the density of states at the Fermi level is 2.96 states/eV/cell. Its energy relative to the elements, uncorrected is -1.059 eV per atom. The spin magnetization is 0.00 μB/f.u. The value obtained for the energy is -4.55 eV per atom.


Record 8
This record from Alexandria via LeMat-Bulk describes Ba3TcW after structural relaxation. The functional is PBE.

a b c (Å): 5.7971 5.7971 5.7971
angles (deg): 90.00 90.00 90.00
Last column: nearest neighbours and their distance in Å.
Fractional coordinates of all 5 atoms:
Ba (0.5000, 0.0000, 0.0000)  2 Tc 2.90
Ba (0.0000, 0.0000, 0.5000)  2 Tc 2.90
Ba (0.0000, 0.5000, 0.0000)  2 Tc 2.90
W (0.5000, 0.5000, 0.5000)  12 Ba 4.10
Tc (0.0000, 0.0000, 0.0000)  6 Ba 2.90

Properties
The value obtained for the density of states at the Fermi level is 3.68 states/eV/cell. For the calculated formation energy, the calculation gives 1.50 eV per atom. The spin magnetization is 4.83 μB/f.u. The value obtained for the energy is -4.31 eV per atom.